A plane-wave DFT calculation with PBE was carried out for an optimized crystal structure of Er2PuScS6.

Geometry as POSCAR:
```
Er2PuScS6
1.0
3.394 1.960 6.118
-3.394 1.960 6.118
0.000 -3.919 6.118
Er Pu Sc S
2 1 1 6
direct
0.000 0.000 0.000
0.497 0.497 0.497
0.199 0.199 0.199
0.694 0.694 0.694
0.082 0.415 0.794
0.305 0.892 0.605
0.415 0.794 0.082
0.605 0.305 0.892
0.794 0.082 0.415
0.892 0.605 0.305
```

Properties
- Space-group type: R3, No. 146
- Formation energy from raw total energies: -1.865 eV/atom
- E: -7.321 eV per atom
- Spin magnetization: 5.00 μB per formula unit